Entry 1:
Entry from the Alexandria database: crystalline Rb3Y3PtO8 at its relaxed geometry (PBE).

Cell lengths 7.677, 7.677, 7.677 Å; angles 52.91, 52.91, 52.91 degrees
Sites, in units of the cell vectors:
Rb: 0.000 0.500 0.500
Rb: 0.500 0.000 0.500
Rb: 0.500 0.500 0.000
Y: 0.000 0.000 0.500
Y: 0.000 0.500 0.000
Y: 0.500 0.000 0.000
Pt: 0.500 0.500 0.500
O: 0.224 0.224 0.224
O: 0.246 0.710 0.710
O: 0.290 0.290 0.754
O: 0.290 0.754 0.290
O: 0.710 0.246 0.710
O: 0.710 0.710 0.246
O: 0.754 0.290 0.290
O: 0.776 0.776 0.776

Properties
Space-group type   R-3m, No. 166
DOS at the Fermi energy   0.00 states/eV/f.u.

Entry 2:
Entry from the Alexandria database: crystalline Rb2YPtO6 at its relaxed geometry (PBE).

Cell lengths 5.989, 5.989, 5.989 Å; angles 60.00, 60.00, 60.00 degrees
Sites, in units of the cell vectors:
Rb: 0.250 0.250 0.250
Rb: 0.750 0.750 0.750
Y: 0.000 0.000 0.000
Pt: 0.500 0.500 0.500
O: 0.268 0.268 0.732
O: 0.268 0.732 0.268
O: 0.268 0.732 0.732
O: 0.732 0.268 0.268
O: 0.732 0.268 0.732
O: 0.732 0.732 0.268

Properties
Space-group type   Fm-3m, No. 225
DOS at the Fermi energy   8.29 states/eV/f.u.

Entry 3:
Entry from the Alexandria database: crystalline Rb2ZnPtO4 at its relaxed geometry (PBE).

Cell lengths 12.064, 10.273, 7.596 Å; angles 83.50, 57.78, 38.72 degrees
Sites, in units of the cell vectors:
Rb: 0.049 0.049 0.701
Rb: 0.299 0.299 0.951
Rb: 0.701 0.701 0.049
Rb: 0.951 0.951 0.299
Zn: 0.125 0.125 0.125
Zn: 0.875 0.875 0.875
Pt: 0.375 0.375 0.375
Pt: 0.625 0.625 0.625
O: 0.036 0.707 0.526
O: 0.231 0.526 0.707
O: 0.293 0.964 0.769
O: 0.474 0.769 0.964
O: 0.526 0.231 0.036
O: 0.707 0.036 0.231
O: 0.769 0.474 0.293
O: 0.964 0.293 0.474

Properties
Space-group type   Fddd, No. 70
DOS at the Fermi energy   3.01 states/eV/f.u.

Entry 4:
Entry from the Alexandria database: crystalline Rb2ZrPtO4 at its relaxed geometry (PBE).

Cell lengths 13.212, 11.713, 7.289 Å; angles 84.71, 61.97, 33.32 degrees
Sites, in units of the cell vectors:
Rb: 0.065 0.065 0.685
Rb: 0.315 0.315 0.935
Rb: 0.685 0.685 0.065
Rb: 0.935 0.935 0.315
Zr: 0.125 0.125 0.125
Zr: 0.875 0.875 0.875
Pt: 0.375 0.375 0.375
Pt: 0.625 0.625 0.625
O: 0.013 0.286 0.446
O: 0.245 0.554 0.714
O: 0.286 0.013 0.755
O: 0.446 0.755 0.013
O: 0.554 0.245 0.987
O: 0.714 0.987 0.245
O: 0.755 0.446 0.286
O: 0.987 0.714 0.554

Properties
Space-group type   Fddd, No. 70

Entry 5:
Entry from the Alexandria database: crystalline Rb2ZrPt3O12 at its relaxed geometry (PBE).

Cell lengths 7.529, 7.529, 7.529 Å; angles 57.87, 57.87, 57.87 degrees
Sites, in units of the cell vectors:
Rb: 0.117 0.117 0.117
Rb: 0.883 0.883 0.883
Zr: 0.500 0.500 0.500
Pt: 0.000 0.500 0.500
Pt: 0.500 0.000 0.500
Pt: 0.500 0.500 0.000
O: 0.167 0.568 0.568
O: 0.176 0.176 0.587
O: 0.176 0.587 0.176
O: 0.413 0.824 0.824
O: 0.432 0.432 0.833
O: 0.432 0.833 0.432
O: 0.568 0.167 0.568
O: 0.568 0.568 0.167
O: 0.587 0.176 0.176
O: 0.824 0.413 0.824
O: 0.824 0.824 0.413
O: 0.833 0.432 0.432

Properties
Space-group type   R-3m, No. 166
DOS at the Fermi energy   13.10 states/eV/f.u.

Entry 6:
Entry from the Alexandria database: crystalline Re2PtO at its relaxed geometry (PBE).

Cell lengths 7.330, 7.330, 7.330 Å; angles 144.90, 144.90, 50.48 degrees
Sites, in units of the cell vectors:
Re: 0.012 0.625 0.887
Re: 0.375 0.262 0.387
Re: 0.738 0.125 0.113
Re: 0.875 0.988 0.613
Pt: 0.250 0.750 0.500
Pt: 0.500 0.500 0.000
O: 0.000 0.000 0.000
O: 0.750 0.250 0.500

Properties
Space-group type   I-42d, No. 122
DOS at the Fermi energy   3.48 states/eV/f.u.

no.,E_tot (eV per atom)
1,-6.797
2,-5.842
3,-4.573
4,-6.032
5,-5.866
6,-8.529